A plane-wave DFT calculation with PBE with a Hubbard U was carried out for crystalline MnAlCoO at its relaxed geometry.

Structure (extended XYZ):
```
8
Lattice="7.0901 0.0000 1.2124 0.0000 3.0840 0.0000 -2.1286 0.0000 4.6973" Properties=species:S:1:pos:R:3 pbc="T T T"
Mn 2.8126 0.0000 5.3575
Mn 3.8769 1.5420 3.0089
Al 1.4875 0.0000 1.0714
Al 0.4232 1.5420 3.4201
Co 6.1379 0.0000 3.1944
Co 5.0736 1.5420 5.5431
O 3.1161 0.0000 1.7419
O 2.0518 1.5420 4.0905
```

For the polymorph energy (0 for the lowest one), the calculation gives 61 kJ/mol of formula units. Its symmetry is Cm (8). The calculation puts the density of states at the Fermi level at 0.318 states/eV/atom.